[1]
# Li3ClO

A geometry-optimized Li3ClO structure (PBE-GGA, the Alexandria database).

Energy relative to the elements, uncorrected   -1758 meV per atom
Relative energy among the computed polymorphs   65 meV per atom

Unit cell a=6.872 b=13.038 c=6.927 alpha=90.00 beta=90.00 gamma=90.00
Space group Cmce (No. 64)
Inequivalent atoms, fractional coordinates:
Li 0.000 0.060 0.118 [8 per cell]
Li 0.000 0.220 0.900 [8 per cell]
Li 0.250 0.089 0.750 [8 per cell]
Cl 0.250 0.180 0.250 [8 per cell]
O 0.000 0.083 0.846 [8 per cell]

=====

[2]
# K6SeI2Br2

A geometry-optimized K6SeI2Br2 structure (PBE-GGA, the Alexandria database).

Energy relative to the elements, uncorrected   -1437 meV per atom

Unit cell a=8.554 b=14.467 c=8.665 alpha=90.00 beta=110.22 gamma=90.00
Space group C2/m (No. 12)
Inequivalent atoms, fractional coordinates:
K 0.220 0.168 0.208 [8 per cell]
K 0.226 0.000 0.784 [4 per cell]
Se 0.000 0.000 0.000 [2 per cell]
I 0.000 0.177 0.500 [4 per cell]
Br 0.000 0.343 0.000 [4 per cell]

=====

[3]
# Be2AgGeW

A geometry-optimized Be2AgGeW structure (PBE-GGA, the Alexandria database).

VASP energy   -20.420 eV per cell

Unit cell a=4.136 b=4.136 c=4.911 alpha=90.00 beta=90.00 gamma=90.00
Space group P4/mmm (No. 123)
Inequivalent atoms, fractional coordinates:
Be 0.000 0.500 0.000 [2 per cell]
Ag 0.000 0.000 0.500 [1 per cell]
Ge 0.000 0.000 0.000 [1 per cell]
W 0.500 0.500 0.500 [1 per cell]

=====

[4]
# Fe2Co3Rh4

A geometry-optimized Fe2Co3Rh4 structure (PBE-GGA, the Alexandria database).

VASP energy   -134.627 eV per cell

Unit cell a=13.567 b=2.690 c=6.971 alpha=90.00 beta=114.84 gamma=90.00
Space group C2/m (No. 12)
Inequivalent atoms, fractional coordinates:
Fe 0.163 0.000 0.487 [4 per cell]
Co 0.000 0.500 0.500 [2 per cell]
Co 0.148 0.500 0.175 [4 per cell]
Rh 0.020 0.000 0.832 [4 per cell]
Rh 0.190 0.500 0.822 [4 per cell]

=====

[5]
# Ce2Mg5Cd4

A geometry-optimized Ce2Mg5Cd4 structure (PBE-GGA, the Alexandria database).

VASP energy   -95.977 eV per cell

Unit cell a=6.012 b=9.769 c=19.393 alpha=90.00 beta=90.00 gamma=90.00
Space group Fmmm (No. 69)
Inequivalent atoms, fractional coordinates:
Ce 0.000 0.000 0.108 [8 per cell]
Mg 0.000 0.000 0.500 [4 per cell]
Mg 0.250 0.250 0.000 [8 per cell]
Mg 0.250 0.250 0.250 [8 per cell]
Cd 0.000 0.158 0.369 [16 per cell]

=====

[6]
# SrCdOs2

A geometry-optimized SrCdOs2 structure (PBE-GGA, the Alexandria database).

VASP energy   -43.677 eV per cell

Unit cell a=9.924 b=2.987 c=5.864 alpha=90.00 beta=100.31 gamma=90.00
Space group C2/m (No. 12)
Inequivalent atoms, fractional coordinates:
Sr 0.000 0.000 0.000 [2 per cell]
Cd 0.000 0.500 0.500 [2 per cell]
Os 0.238 0.000 0.667 [4 per cell]

=====

[7]
# Li12Mg

A geometry-optimized Li12Mg structure (PBE-GGA, the Alexandria database).

Relative energy among the computed polymorphs   0 meV per atom

Unit cell a=11.006 b=11.006 c=11.006 alpha=90.00 beta=90.00 gamma=90.00
Space group Fm-3m (No. 225)
Inequivalent atoms, fractional coordinates:
Li 0.000 0.172 0.172 [48 per cell]
Mg 0.000 0.000 0.500 [4 per cell]

=====

[8]
# V5Cr2Mo2

A geometry-optimized V5Cr2Mo2 structure (PBE-GGA, the Alexandria database).

VASP energy   -87.007 eV per cell

Unit cell a=2.678 b=6.445 c=7.265 alpha=100.56 beta=90.08 gamma=97.76
Space group P-1 (No. 2)
Inequivalent atoms, fractional coordinates:
V 0.000 0.000 0.000 [1 per cell]
V 0.104 0.326 0.550 [2 per cell]
V 0.446 0.326 0.227 [2 per cell]
Cr 0.337 0.995 0.658 [2 per cell]
Mo 0.224 0.674 0.117 [2 per cell]

=====

[9]
# CeAlHIr2

A geometry-optimized CeAlHIr2 structure (PBE-GGA, the Alexandria database).

VASP energy   -135.684 eV per cell

Unit cell a=4.066 b=11.240 c=6.832 alpha=90.00 beta=90.00 gamma=90.00
Space group Cmcm (No. 63)
Inequivalent atoms, fractional coordinates:
Ce 0.000 0.081 0.250 [4 per cell]
Al 0.000 0.200 0.750 [4 per cell]
H 0.000 0.500 0.000 [4 per cell]
Ir 0.000 0.343 0.040 [8 per cell]

=====

[10]
# LaCe3Se6

A geometry-optimized LaCe3Se6 structure (PBE-GGA, the Alexandria database).

Energy relative to the elements, uncorrected   -1851 meV per atom
Relative energy among the computed polymorphs   0 meV per atom

Unit cell a=11.808 b=4.270 c=12.248 alpha=90.00 beta=107.89 gamma=90.00
Space group P2_1/m (No. 11)
Inequivalent atoms, fractional coordinates:
La 0.047 0.250 0.191 [2 per cell]
Ce 0.159 0.250 0.582 [2 per cell]
Ce 0.315 0.750 0.997 [2 per cell]
Ce 0.434 0.250 0.331 [2 per cell]
Se 0.085 0.750 0.403 [2 per cell]
Se 0.116 0.250 0.963 [2 per cell]
Se 0.191 0.750 0.748 [2 per cell]
Se 0.257 0.750 0.225 [2 per cell]
Se 0.398 0.250 0.561 [2 per cell]
Se 0.480 0.250 0.113 [2 per cell]

=====

Number 1: total magnetization 0.00 μB per cell. Number 2: total magnetization 0.39 μB per cell. Number 3: total magnetization 2.18 μB per cell. Number 4: total magnetization 24.90 μB per cell. Number 5: total magnetization 8.21 μB per cell. Number 6: total magnetization 0.01 μB per cell. Number 7: total magnetization 0.00 μB per cell. Number 8: total magnetization 0.00 μB per cell. Number 9: total magnetization 0.00 μB per cell. Number 10: total magnetization 1.92 μB per cell.